Record 1
# Sr4ZnSb3O12 (PBE, relaxed)
data_Sr4ZnSb3O12
_cell_length_a 7.1042
_cell_length_b 7.1042
_cell_length_c 7.1042
_cell_angle_alpha 109.47
_cell_angle_beta 109.47
_cell_angle_gamma 109.47
_space_group_name_H-M_alt 'P 1'
_space_group_IT_number 1
loop_
_space_group_symop_operation_xyz
'x,y,z'
loop_
_atom_site_label
_atom_site_type_symbol
_atom_site_fract_x
_atom_site_fract_y
_atom_site_fract_z
_atom_site_occupancy
Sr1 Sr 0.5000 0.5000 0.5000 1
Sr2 Sr 0.0000 0.0000 0.5000 1
Sr3 Sr 0.5000 0.0000 0.0000 1
Sr4 Sr 0.0000 0.5000 0.0000 1
Zn1 Zn 0.0000 0.0000 0.0000 1
Sb1 Sb 0.5000 0.0000 0.5000 1
Sb2 Sb 0.5000 0.5000 0.0000 1
Sb3 Sb 0.0000 0.5000 0.5000 1
O1 O 0.2500 0.5000 0.7500 1
O2 O 0.7418 0.0000 0.7418 1
O3 O 0.2582 0.0000 0.2582 1
O4 O 0.7500 0.5000 0.2500 1
O5 O 0.7418 0.7418 0.0000 1
O6 O 0.2582 0.2582 0.0000 1
O7 O 0.7500 0.2500 0.5000 1
O8 O 0.2500 0.7500 0.5000 1
O9 O 0.5000 0.2500 0.7500 1
O10 O 0.0000 0.7418 0.7418 1
O11 O 0.5000 0.7500 0.2500 1
O12 O 0.0000 0.2582 0.2582 1
# total magnetic moment: 0.00 μB/f.u.
# VASP energy: -6.05 eV per atom

=====

Record 2
# SrZn4Sb3O12 (PBE, relaxed)
data_SrZn4Sb3O12
_cell_length_a 6.9919
_cell_length_b 6.9919
_cell_length_c 6.9919
_cell_angle_alpha 107.55
_cell_angle_beta 107.55
_cell_angle_gamma 107.55
_space_group_name_H-M_alt 'P 1'
_space_group_IT_number 1
loop_
_space_group_symop_operation_xyz
'x,y,z'
loop_
_atom_site_label
_atom_site_type_symbol
_atom_site_fract_x
_atom_site_fract_y
_atom_site_fract_z
_atom_site_occupancy
Sr1 Sr 0.0000 0.0000 0.0000 1
Zn1 Zn 0.9325 0.0675 0.5000 1
Zn2 Zn 0.0675 0.5000 0.9325 1
Zn3 Zn 0.5000 0.9325 0.0675 1
Zn4 Zn 0.5000 0.5000 0.5000 1
Sb1 Sb 0.5614 0.4386 0.0000 1
Sb2 Sb 0.4386 0.0000 0.5614 1
Sb3 Sb 0.0000 0.5614 0.4386 1
O1 O 0.5000 0.3305 0.6695 1
O2 O 0.8953 0.5000 0.1047 1
O3 O 0.1047 0.8953 0.5000 1
O4 O 0.5000 0.1047 0.8953 1
O5 O 0.3463 0.9695 0.2499 1
O6 O 0.2499 0.3463 0.9695 1
O7 O 0.9695 0.2499 0.3463 1
O8 O 0.6537 0.7501 0.0305 1
O9 O 0.0305 0.6537 0.7501 1
O10 O 0.7501 0.0305 0.6537 1
O11 O 0.6695 0.5000 0.3305 1
O12 O 0.3305 0.6695 0.5000 1
# total magnetic moment: 0.00 μB/f.u.
# VASP energy: -5.46 eV per atom

=====

Record 3
# SrZnSbO (PBE, relaxed)
data_SrZnSbO
_cell_length_a 3.9982
_cell_length_b 3.9982
_cell_length_c 6.9225
_cell_angle_alpha 90.00
_cell_angle_beta 90.00
_cell_angle_gamma 120.00
_space_group_name_H-M_alt 'P 1'
_space_group_IT_number 1
loop_
_space_group_symop_operation_xyz
'x,y,z'
loop_
_atom_site_label
_atom_site_type_symbol
_atom_site_fract_x
_atom_site_fract_y
_atom_site_fract_z
_atom_site_occupancy
Sr1 Sr 0.6667 0.3333 0.0108 1
Zn1 Zn 0.3333 0.6667 0.3971 1
Sb1 Sb 0.0000 0.0000 0.6023 1
O1 O 0.3333 0.6667 0.1189 1
# total magnetic moment: 0.00 μB/f.u.
# VASP energy: -4.32 eV per atom

=====

Record 4
# SrZr2SbO8 (PBE, relaxed)
data_SrZr2SbO8
_cell_length_a 4.9630
_cell_length_b 4.9618
_cell_length_c 6.8761
_cell_angle_alpha 90.00
_cell_angle_beta 90.00
_cell_angle_gamma 88.13
_space_group_name_H-M_alt 'P 1'
_space_group_IT_number 1
loop_
_space_group_symop_operation_xyz
'x,y,z'
loop_
_atom_site_label
_atom_site_type_symbol
_atom_site_fract_x
_atom_site_fract_y
_atom_site_fract_z
_atom_site_occupancy
Sr1 Sr 0.0000 0.0000 0.5000 1
Zr1 Zr 0.5000 0.5000 0.7526 1
Zr2 Zr 0.5000 0.5000 0.2474 1
Sb1 Sb 0.0000 0.0000 0.0000 1
O1 O 0.2016 0.7977 0.2058 1
O2 O 0.7077 0.7082 0.0000 1
O3 O 0.7984 0.2023 0.2058 1
O4 O 0.7984 0.2023 0.7942 1
O5 O 0.2923 0.2918 0.0000 1
O6 O 0.2016 0.7977 0.7942 1
O7 O 0.6674 0.6690 0.5000 1
O8 O 0.3326 0.3310 0.5000 1
# total magnetic moment: 0.91 μB/f.u.
# VASP energy: -7.67 eV per atom

=====

Record 5
# SrZrSbO6 (PBE, relaxed)
data_SrZrSbO6
_cell_length_a 5.5578
_cell_length_b 5.5578
_cell_length_c 10.5087
_cell_angle_alpha 90.00
_cell_angle_beta 90.00
_cell_angle_gamma 120.00
_space_group_name_H-M_alt 'P 1'
_space_group_IT_number 1
loop_
_space_group_symop_operation_xyz
'x,y,z'
loop_
_atom_site_label
_atom_site_type_symbol
_atom_site_fract_x
_atom_site_fract_y
_atom_site_fract_z
_atom_site_occupancy
Sr1 Sr 0.0000 0.0000 0.0000 1
Sr2 Sr 0.0000 0.0000 0.5000 1
Zr1 Zr 0.6667 0.3333 0.2500 1
Zr2 Zr 0.3333 0.6667 0.7500 1
Sb1 Sb 0.3333 0.6667 0.2500 1
Sb2 Sb 0.6667 0.3333 0.7500 1
O1 O 0.6183 0.6342 0.1447 1
O2 O 0.0159 0.3817 0.1447 1
O3 O 0.3817 0.0159 0.6447 1
O4 O 0.9841 0.6183 0.8553 1
O5 O 0.3658 0.3817 0.3553 1
O6 O 0.0159 0.6342 0.3553 1
O7 O 0.6342 0.0159 0.8553 1
O8 O 0.6183 0.9841 0.3553 1
O9 O 0.9841 0.3658 0.6447 1
O10 O 0.3658 0.9841 0.1447 1
O11 O 0.6342 0.6183 0.6447 1
O12 O 0.3817 0.3658 0.8553 1
# total magnetic moment: 1.07 μB/f.u.
# VASP energy: -7.15 eV per atom

=====

Record 6
# Ta2SbO8 (PBE, relaxed)
data_Ta2SbO8
_cell_length_a 4.1058
_cell_length_b 5.9023
_cell_length_c 5.9023
_cell_angle_alpha 69.27
_cell_angle_beta 90.88
_cell_angle_gamma 90.88
_space_group_name_H-M_alt 'P 1'
_space_group_IT_number 1
loop_
_space_group_symop_operation_xyz
'x,y,z'
loop_
_atom_site_label
_atom_site_type_symbol
_atom_site_fract_x
_atom_site_fract_y
_atom_site_fract_z
_atom_site_occupancy
Ta1 Ta 0.2718 0.6322 0.6322 1
Ta2 Ta 0.7282 0.3678 0.3678 1
Sb1 Sb 0.0000 0.0000 0.0000 1
O1 O 0.2413 0.8833 0.3134 1
O2 O 0.2413 0.3134 0.8833 1
O3 O 0.7587 0.1167 0.6866 1
O4 O 0.2507 0.4033 0.4033 1
O5 O 0.7587 0.6866 0.1167 1
O6 O 0.2538 0.8243 0.8243 1
O7 O 0.7462 0.1757 0.1757 1
O8 O 0.7493 0.5967 0.5967 1
# total magnetic moment: 1.02 μB/f.u.
# VASP energy: -8.15 eV per atom

=====

Record 7
# TaSbO3 (PBE, relaxed)
data_TaSbO3
_cell_length_a 4.0429
_cell_length_b 4.0429
_cell_length_c 4.0429
_cell_angle_alpha 90.00
_cell_angle_beta 90.00
_cell_angle_gamma 90.00
_space_group_name_H-M_alt 'P 1'
_space_group_IT_number 1
loop_
_space_group_symop_operation_xyz
'x,y,z'
loop_
_atom_site_label
_atom_site_type_symbol
_atom_site_fract_x
_atom_site_fract_y
_atom_site_fract_z
_atom_site_occupancy
Sb1 Sb 0.5000 0.5000 0.5000 1
O1 O 0.0000 0.5000 0.0000 1
O2 O 0.0000 0.0000 0.5000 1
O3 O 0.5000 0.0000 0.0000 1
Ta1 Ta 0.0000 0.0000 0.0000 1
# total magnetic moment: 0.00 μB/f.u.
# VASP energy: -7.78 eV per atom

=====

Record 8
# TaSb3O8 (PBE, relaxed)
data_TaSb3O8
_cell_length_a 4.9574
_cell_length_b 5.5928
_cell_length_c 23.9076
_cell_angle_alpha 89.88
_cell_angle_beta 89.99
_cell_angle_gamma 90.06
_space_group_name_H-M_alt 'P 1'
_space_group_IT_number 1
loop_
_space_group_symop_operation_xyz
'x,y,z'
loop_
_atom_site_label
_atom_site_type_symbol
_atom_site_fract_x
_atom_site_fract_y
_atom_site_fract_z
_atom_site_occupancy
Ta1 Ta 0.0050 0.1317 0.5722 1
Ta2 Ta 0.4988 0.3628 0.8221 1
Ta3 Ta 0.4979 0.6319 0.5720 1
Ta4 Ta 0.5000 0.6349 0.0721 1
Sb1 Sb 0.5497 0.9854 0.6974 1
Sb2 Sb 0.5423 0.9802 0.1976 1
Sb3 Sb 0.0018 0.1343 0.0734 1
Sb4 Sb 0.5003 0.3635 0.3218 1
Sb5 Sb 0.0459 0.5126 0.9474 1
Sb6 Sb 0.0453 0.5110 0.4471 1
Sb7 Sb 0.9520 0.4843 0.6972 1
Sb8 Sb 0.9554 0.4839 0.1972 1
Sb9 Sb 0.9966 0.8635 0.8232 1
Sb10 Sb 0.0004 0.8633 0.3220 1
Sb11 Sb 0.4534 0.0145 0.9479 1
Sb12 Sb 0.4563 0.0118 0.4469 1
O1 O 0.7200 0.0858 0.8517 1
O2 O 0.7120 0.0810 0.3520 1
O3 O 0.2192 0.1340 0.2927 1
O4 O 0.2278 0.1251 0.7962 1
O5 O 0.8322 0.1634 0.6504 1
O6 O 0.8332 0.1577 0.1519 1
O7 O 0.1697 0.1785 0.4954 1
O8 O 0.1625 0.1785 0.9957 1
O9 O 0.6635 0.3214 0.7460 1
O10 O 0.6607 0.3180 0.2448 1
O11 O 0.3382 0.3385 0.4007 1
O12 O 0.3351 0.3391 0.9014 1
O13 O 0.7290 0.3750 0.0480 1
O14 O 0.7432 0.3925 0.5472 1
O15 O 0.2255 0.4182 0.5999 1
O16 O 0.2185 0.4130 0.1006 1
O17 O 0.7886 0.5807 0.3521 1
O18 O 0.7818 0.5829 0.8501 1
O19 O 0.2816 0.6344 0.2928 1
O20 O 0.2716 0.6247 0.7982 1
O21 O 0.6687 0.6631 0.6509 1
O22 O 0.6659 0.6583 0.1509 1
O23 O 0.3324 0.6781 0.4954 1
O24 O 0.3342 0.6769 0.9961 1
O25 O 0.8393 0.8203 0.7452 1
O26 O 0.8385 0.8176 0.2452 1
O27 O 0.1635 0.8394 0.9019 1
O28 O 0.1626 0.8388 0.4008 1
O29 O 0.7590 0.8923 0.5472 1
O30 O 0.7683 0.8753 0.0460 1
O31 O 0.2763 0.9098 0.1020 1
O32 O 0.2764 0.9180 0.6000 1
# total magnetic moment: 0.00 μB/f.u.
# VASP energy: -7.13 eV per atom

=====

Record 9
# Ta2SbO4 (PBE, relaxed)
data_Ta2SbO4
_cell_length_a 4.3184
_cell_length_b 4.3184
_cell_length_c 7.9927
_cell_angle_alpha 74.33
_cell_angle_beta 74.33
_cell_angle_gamma 90.00
_space_group_name_H-M_alt 'P 1'
_space_group_IT_number 1
loop_
_space_group_symop_operation_xyz
'x,y,z'
loop_
_atom_site_label
_atom_site_type_symbol
_atom_site_fract_x
_atom_site_fract_y
_atom_site_fract_z
_atom_site_occupancy
Sb1 Sb 0.0000 0.0000 0.0000 1
O1 O 0.7224 0.7224 0.5553 1
O2 O 0.2776 0.2776 0.4447 1
O3 O 0.0000 0.5000 0.0000 1
O4 O 0.5000 0.0000 0.0000 1
Ta1 Ta 0.6066 0.6066 0.7869 1
Ta2 Ta 0.3934 0.3934 0.2131 1
# total magnetic moment: 2.12 μB/f.u.
# VASP energy: -7.20 eV per atom